No. 1
KTe2PtAuS | PBE | optimized geometry

Geometry as CIF:
```
data_KTe2PtAuS
_cell_length_a 4.241
_cell_length_b 12.984
_cell_length_c 11.741
_cell_angle_alpha 90.00
_cell_angle_beta 90.00
_cell_angle_gamma 90.00
_space_group_name_H-M_alt 'C m c m'
_space_group_IT_number 63
_space_group_name_Hall '-C 2c 2'
loop_
_atom_site_label
_atom_site_fract_x
_atom_site_fract_y
_atom_site_fract_z
K1 0.000 0.214 0.250
Te1 0.000 0.128 0.526
Pt1 0.000 0.500 0.000
Au1 0.000 0.079 0.750
S1 0.000 0.485 0.750
```

Computed properties:
**Final energy**: -90.239 eV per cell
**M_tot**: 0.033 μB per cell

No. 2
SbIr2W | PBE | optimized geometry

Geometry as CIF:
```
data_SbIr2W
_cell_length_a 6.415
_cell_length_b 6.415
_cell_length_c 6.415
_cell_angle_alpha 90.00
_cell_angle_beta 90.00
_cell_angle_gamma 90.00
_space_group_name_H-M_alt 'F -4 3 m'
_space_group_IT_number 216
_space_group_name_Hall 'F -4 2 3'
loop_
_atom_site_label
_atom_site_fract_x
_atom_site_fract_y
_atom_site_fract_z
Sb1 0.000 0.000 0.000
Ir1 0.000 0.000 0.500
Ir2 0.250 0.250 0.750
W1 0.250 0.250 0.250
```

Computed properties:
**Final energy**: -133.243 eV per cell
**M_tot**: 0.073 μB per cell